No. 1
## Zn2Pb (SCAN)

Data for a PBEsol-optimized structure of Zn2Pb.

The structure belongs to space group Cmcm (No. 63); the cell edges are 3.3876, 18.3653 and 3.9495 Å and the angles 90.00°, 90.00° and 90.00°. The distinct sites, in fractional coordinates, are Zn at (0.0000, 0.0481, 0.2500), Zn at (0.0000, 0.4348, 0.2500) and Pb at (0.0000, 0.3162, 0.7500).

For the mass density, the calculation gives 9.137 g cm⁻³. As for the total DFT energy (no corrections): -34.170 eV/atom.

No. 2
## CuPbSe2 (SCAN)

Data for a PBEsol-optimized structure of CuPbSe2.

The structure belongs to space group Cmmm (No. 65); the cell edges are 5.9975, 7.4333 and 3.8259 Å and the angles 90.00°, 90.00° and 90.00°. The distinct sites, in fractional coordinates, are Cu at (0.0000, 0.0000, 0.0000), Pb at (0.0000, 0.5000, 0.0000) and Se at (0.2500, 0.2500, 0.5000).

For the mass density, the calculation gives 8.347 g cm⁻³. The value obtained for the formation energy without anion corrections is 209 meV per atom.

No. 3
## CuAgPt2 (SCAN)

Data for a PBEsol-optimized structure of CuAgPt2.

The structure belongs to space group P4/mmm (No. 123); the cell edges are 2.7481, 2.7481 and 7.6592 Å and the angles 90.00°, 90.00° and 90.00°. The distinct sites, in fractional coordinates, are Cu at (0.0000, 0.0000, 0.0000), Ag at (0.0000, 0.0000, 0.5000) and Pt at (0.5000, 0.5000, 0.2286).

For the mass density, the calculation gives 16.121 g cm⁻³. The value obtained for the offset from the most stable computed form is 0.075 eV per atom.

No. 4
## Cd2RuAu (SCAN)

Data for a PBEsol-optimized structure of Cd2RuAu.

The structure belongs to space group I4/mmm (No. 139); the cell edges are 4.1843, 4.1843 and 7.7199 Å and the angles 90.00°, 90.00° and 90.00°. The distinct sites, in fractional coordinates, are Cd at (0.0000, 0.5000, 0.2500), Ru at (0.0000, 0.0000, 0.0000) and Au at (0.0000, 0.0000, 0.5000).

For the mass density, the calculation gives 12.847 g cm⁻³. As for the total DFT energy (no corrections): -41.053 eV/atom.

No. 5
## Sr2LiCu2 (SCAN)

Data for a PBEsol-optimized structure of Sr2LiCu2.

The structure belongs to space group P4/mbm (No. 127); the cell edges are 7.8701, 7.8701 and 4.1950 Å and the angles 90.00°, 90.00° and 90.00°. The distinct sites, in fractional coordinates, are Sr at (0.1792, 0.3208, 0.0000), Li at (0.0000, 0.0000, 0.5000) and Cu at (0.1091, 0.6091, 0.5000).

For the mass density, the calculation gives 3.953 g cm⁻³. The value obtained for the offset from the most stable computed form is 0.000 eV per atom.

No. 6
## Ba2AgSb (SCAN)

Data for a PBEsol-optimized structure of Ba2AgSb.

The structure belongs to space group P4/mmm (No. 123); the cell edges are 5.7040, 5.7040 and 4.2547 Å and the angles 90.00°, 90.00° and 90.00°. The distinct sites, in fractional coordinates, are Ba at (0.0000, 0.5000, 0.0000), Ag at (0.0000, 0.0000, 0.5000) and Sb at (0.5000, 0.5000, 0.5000).

For the mass density, the calculation gives 6.049 g cm⁻³. The value obtained for the formation energy without anion corrections is -706 meV per atom.

No. 7
## K2CuPSe (SCAN)

Data for a PBEsol-optimized structure of K2CuPSe.

The structure belongs to space group P4/mmm (No. 123); the cell edges are 6.0587, 6.0587 and 4.0672 Å and the angles 90.00°, 90.00° and 90.00°. The distinct sites, in fractional coordinates, are K at (0.0000, 0.5000, 0.0000), Cu at (0.0000, 0.0000, 0.0000), P at (0.0000, 0.0000, 0.5000) and Se at (0.5000, 0.5000, 0.5000).

For the mass density, the calculation gives 2.799 g cm⁻³. The value obtained for the formation energy without anion corrections is -272 meV per atom.

No. 8
## HfScGa2F (SCAN)

Data for a PBEsol-optimized structure of HfScGa2F.

The structure belongs to space group P4/mmm (No. 123); the cell edges are 5.2179, 5.2179 and 3.7127 Å and the angles 90.00°, 90.00° and 90.00°. The distinct sites, in fractional coordinates, are Hf at (0.0000, 0.0000, 0.0000), Sc at (0.5000, 0.5000, 0.5000), Ga at (0.0000, 0.5000, 0.5000) and F at (0.5000, 0.5000, 0.0000).

For the mass density, the calculation gives 6.273 g cm⁻³. The value obtained for the formation energy without anion corrections is -574 meV per atom.

No. 9
## TaGaPd3 (SCAN)

Data for a PBEsol-optimized structure of TaGaPd3.

The structure belongs to space group Pm-3m (No. 221); the cell edges are 4.4676, 4.4676 and 4.4676 Å and the angles 90.00°, 90.00° and 90.00°. The distinct sites, in fractional coordinates, are Ta at (0.0000, 0.0000, 0.0000), Ga at (0.5000, 0.5000, 0.5000) and Pd at (0.0000, 0.5000, 0.5000).

For the mass density, the calculation gives 10.613 g cm⁻³. As for the total DFT energy (no corrections): -35.594 eV/atom.

No. 10
## Tl2CrF6 (SCAN)

Data for a PBEsol-optimized structure of Tl2CrF6.

The structure belongs to space group Fm-3m (No. 225); the cell edges are 8.3664, 8.3664 and 8.3664 Å and the angles 90.00°, 90.00° and 90.00°. The distinct sites, in fractional coordinates, are Tl at (0.2500, 0.2500, 0.2500), Cr at (0.0000, 0.0000, 0.0000) and F at (0.0000, 0.0000, 0.2191).

For the mass density, the calculation gives 6.519 g cm⁻³. The value obtained for the formation energy without anion corrections is -2417 meV per atom.

No. 11
## Hf3CrP (SCAN)

Data for a PBEsol-optimized structure of Hf3CrP.

The structure belongs to space group Pm-3m (No. 221); the cell edges are 4.7511, 4.7511 and 4.7511 Å and the angles 90.00°, 90.00° and 90.00°. The distinct sites, in fractional coordinates, are Hf at (0.0000, 0.0000, 0.5000), Cr at (0.5000, 0.5000, 0.5000) and P at (0.0000, 0.0000, 0.0000).

For the mass density, the calculation gives 9.575 g cm⁻³. The value obtained for the offset from the most stable computed form is 0.000 eV per atom.

No. 12
## SbAsP2 (SCAN)

Data for a PBEsol-optimized structure of SbAsP2.

The structure belongs to space group Imm2 (No. 44); the cell edges are 3.2865, 5.0421 and 8.9776 Å and the angles 90.00°, 90.00° and 90.00°. The distinct sites, in fractional coordinates, are Sb at (0.0000, 0.0000, 0.0000), As at (0.0000, 0.5000, 0.8247), P at (0.0000, 0.0000, 0.5488) and P at (0.0000, 0.5000, 0.2291).

For the mass density, the calculation gives 5.774 g cm⁻³. The value obtained for the formation energy without anion corrections is 528 meV per atom.

No. 13
## DyPd2Pb (SCAN)

Data for a PBEsol-optimized structure of DyPd2Pb.

The structure belongs to space group Fm-3m (No. 225); the cell edges are 6.7587, 6.7587 and 6.7587 Å and the angles 90.00°, 90.00° and 90.00°. The distinct sites, in fractional coordinates, are Dy at (0.0000, 0.0000, 0.0000), Pd at (0.2500, 0.2500, 0.2500) and Pb at (0.0000, 0.0000, 0.5000).

For the mass density, the calculation gives 12.533 g cm⁻³. As for the total DFT energy (no corrections): -48.042 eV/atom.

No. 14
## CoReAs2 (SCAN)

Data for a PBEsol-optimized structure of CoReAs2.

The structure belongs to space group Pmmm (No. 47); the cell edges are 3.0510, 3.8895 and 4.8252 Å and the angles 90.00°, 90.00° and 90.00°. The distinct sites, in fractional coordinates, are Co at (0.0000, 0.0000, 0.0000), Re at (0.5000, 0.0000, 0.5000), As at (0.0000, 0.5000, 0.5000) and As at (0.5000, 0.5000, 0.0000).

For the mass density, the calculation gives 11.455 g cm⁻³. The value obtained for the offset from the most stable computed form is 0.412 eV per atom.

No. 15
## MnBe2Al (SCAN)

Data for a PBEsol-optimized structure of MnBe2Al.

The structure belongs to space group F-43m (No. 216); the cell edges are 5.5556, 5.5556 and 5.5556 Å and the angles 90.00°, 90.00° and 90.00°. The distinct sites, in fractional coordinates, are Mn at (0.0000, 0.0000, 0.0000), Be at (0.0000, 0.0000, 0.5000), Be at (0.2500, 0.2500, 0.2500) and Al at (0.2500, 0.2500, 0.7500).

For the mass density, the calculation gives 3.872 g cm⁻³. As for the total DFT energy (no corrections): -8.693 eV/atom.

No. 16
## AsI3 (SCAN)

Data for a PBEsol-optimized structure of AsI3.

The structure belongs to space group R-3 (No. 148, hexagonal axes); the cell edges are 7.0714, 7.0714 and 20.1838 Å and the angles 90.00°, 90.00° and 120.00°. The distinct sites, in fractional coordinates, are As at (0.0000, 0.0000, 0.1678) and I at (0.0019, 0.3472, 0.4177).

For the mass density, the calculation gives 5.194 g cm⁻³. The value obtained for the formation energy without anion corrections is -177 meV per atom.

No. 17
## YAgHg (SCAN)

Data for a PBEsol-optimized structure of YAgHg.

The structure belongs to space group P-6m2 (No. 187); the cell edges are 4.7790, 4.7790 and 3.2963 Å and the angles 90.00°, 90.00° and 120.00°. The distinct sites, in fractional coordinates, are Y at (0.0000, 0.0000, 0.0000), Ag at (0.3333, 0.6667, 0.5000) and Hg at (0.6667, 0.3333, 0.5000).

For the mass density, the calculation gives 10.121 g cm⁻³. As for the total DFT energy (no corrections): -42.978 eV/atom.

No. 18
## Ca2YSe (SCAN)

Data for a PBEsol-optimized structure of Ca2YSe.

The structure belongs to space group I-4m2 (No. 119); the cell edges are 4.5374, 4.5374 and 11.0847 Å and the angles 90.00°, 90.00° and 90.00°. The distinct sites, in fractional coordinates, are Ca at (0.0000, 0.0000, 0.0000), Ca at (0.0000, 0.5000, 0.2500), Y at (0.0000, 0.5000, 0.7500) and Se at (0.0000, 0.0000, 0.5000).

For the mass density, the calculation gives 3.609 g cm⁻³. The value obtained for the formation energy without anion corrections is -449 meV per atom. The value obtained for the offset from the most stable computed form is 0.406 eV per atom.

No. 19
## Ru2PbSe (SCAN)

Data for a PBEsol-optimized structure of Ru2PbSe.

The structure belongs to space group F-43m (No. 216); the cell edges are 6.4968, 6.4968 and 6.4968 Å and the angles 90.00°, 90.00° and 90.00°. The distinct sites, in fractional coordinates, are Ru at (0.0000, 0.0000, 0.0000), Ru at (0.2500, 0.2500, 0.2500), Pb at (0.0000, 0.0000, 0.5000) and Se at (0.2500, 0.2500, 0.7500).

For the mass density, the calculation gives 11.828 g cm⁻³. The value obtained for the formation energy without anion corrections is 910 meV per atom. The value obtained for the offset from the most stable computed form is 0.640 eV per atom.

No. 20
## HgTeBr2 (SCAN)

Data for a PBEsol-optimized structure of HgTeBr2.

The structure belongs to space group Fm-3m (No. 225); the cell edges are 7.4111, 7.4111 and 7.4111 Å and the angles 90.00°, 90.00° and 90.00°. The distinct sites, in fractional coordinates, are Hg at (0.0000, 0.0000, 0.0000), Te at (0.0000, 0.0000, 0.5000) and Br at (0.2500, 0.2500, 0.2500).

For the mass density, the calculation gives 7.963 g cm⁻³. The value obtained for the formation energy without anion corrections is 344 meV per atom. The value obtained for the offset from the most stable computed form is 0.440 eV per atom.